[1]
A geometry-optimized Cs3Np3TaSe8 structure, computed with PBE.

a = 9.843 Å, b = 9.843 Å, c = 9.843 Å
α = 49.44°, β = 49.44°, γ = 49.44°
Sites, in units of the cell vectors:
Cs 0.000 0.500 0.500
Cs 0.500 0.000 0.500
Cs 0.500 0.500 0.000
Np 0.000 0.000 0.500
Np 0.000 0.500 0.000
Np 0.500 0.000 0.000
Ta 0.500 0.500 0.500
Se 0.230 0.230 0.230
Se 0.249 0.715 0.715
Se 0.285 0.285 0.751
Se 0.285 0.751 0.285
Se 0.715 0.249 0.715
Se 0.715 0.715 0.249
Se 0.751 0.285 0.285
Se 0.770 0.770 0.770

- N(E_F): 31.7 states/eV per cell
- Formation energy without anion corrections: -1.116 eV per atom

***

[2]
A geometry-optimized Cs3Tb2NpSe6 structure, computed with PBE.

a = 7.465 Å, b = 7.465 Å, c = 8.737 Å
α = 98.17°, β = 98.17°, γ = 119.90°
Sites, in units of the cell vectors:
Cs 0.000 0.000 0.000
Cs 0.333 0.667 0.000
Cs 0.667 0.333 0.000
Tb 0.166 0.834 0.500
Tb 0.834 0.166 0.500
Np 0.500 0.500 0.500
Se 0.101 0.437 0.314
Se 0.226 0.226 0.687
Se 0.437 0.101 0.314
Se 0.563 0.899 0.686
Se 0.774 0.774 0.313
Se 0.899 0.563 0.686

- N(E_F): 6.5 states/eV per cell
- Formation energy without anion corrections: -1.553 eV per atom

***

[3]
A geometry-optimized Cs3TbNp3Se8 structure, computed with PBE.

a = 9.805 Å, b = 9.805 Å, c = 9.805 Å
α = 51.34°, β = 51.34°, γ = 51.34°
Sites, in units of the cell vectors:
Cs 0.000 0.500 0.500
Cs 0.500 0.000 0.500
Cs 0.500 0.500 0.000
Tb 0.500 0.500 0.500
Np 0.000 0.000 0.500
Np 0.000 0.500 0.000
Np 0.500 0.000 0.000
Se 0.226 0.728 0.728
Se 0.228 0.228 0.228
Se 0.272 0.272 0.774
Se 0.272 0.774 0.272
Se 0.728 0.226 0.728
Se 0.728 0.728 0.226
Se 0.772 0.772 0.772
Se 0.774 0.272 0.272

- N(E_F): 26.8 states/eV per cell
- Formation energy without anion corrections: -1.367 eV per atom

***

[4]
A geometry-optimized Cs2TbNpSe4 structure, computed with PBE.

a = 7.489 Å, b = 4.311 Å, c = 8.729 Å
α = 90.00°, β = 106.58°, γ = 90.00°
Sites, in units of the cell vectors:
Cs 0.000 0.000 0.000
Cs 0.500 0.500 0.000
Tb 0.000 0.500 0.500
Np 0.500 0.000 0.500
Se 0.225 0.000 0.686
Se 0.270 0.500 0.315
Se 0.730 0.500 0.685
Se 0.775 0.000 0.314

- N(E_F): 7.5 states/eV per cell
- Formation energy without anion corrections: -1.470 eV per atom

***

[5]
A geometry-optimized Cs2Tb2NpSe6 structure, computed with PBE.

a = 7.281 Å, b = 7.281 Å, c = 8.939 Å
α = 98.01°, β = 98.01°, γ = 119.94°
Sites, in units of the cell vectors:
Cs 0.169 0.831 0.000
Cs 0.831 0.169 0.000
Tb 0.333 0.667 0.500
Tb 0.667 0.333 0.500
Np 0.000 0.000 0.500
Se 0.062 0.390 0.682
Se 0.265 0.265 0.318
Se 0.390 0.062 0.682
Se 0.610 0.938 0.318
Se 0.735 0.735 0.682
Se 0.938 0.610 0.318

- N(E_F): 4.8 states/eV per cell
- Formation energy without anion corrections: -1.578 eV per atom

***

[6]
A geometry-optimized Cs4Tb3NpSe8 structure, computed with PBE.

a = 9.735 Å, b = 9.735 Å, c = 9.735 Å
α = 52.51°, β = 52.51°, γ = 52.51°
Sites, in units of the cell vectors:
Cs 0.000 0.000 0.000
Cs 0.000 0.500 0.500
Cs 0.500 0.000 0.500
Cs 0.500 0.500 0.000
Tb 0.000 0.000 0.500
Tb 0.000 0.500 0.000
Tb 0.500 0.000 0.000
Np 0.500 0.500 0.500
Se 0.225 0.730 0.730
Se 0.229 0.229 0.229
Se 0.270 0.270 0.775
Se 0.270 0.775 0.270
Se 0.730 0.225 0.730
Se 0.730 0.730 0.225
Se 0.771 0.771 0.771
Se 0.775 0.270 0.270

- N(E_F): 4.9 states/eV per cell
- Formation energy without anion corrections: -1.598 eV per atom

***

[7]
A geometry-optimized CsNp2TeSe4 structure, computed with PBE.

a = 8.254 Å, b = 8.254 Å, c = 14.230 Å
α = 90.00°, β = 90.00°, γ = 150.67°
Sites, in units of the cell vectors:
Cs 0.151 0.849 0.750
Cs 0.849 0.151 0.250
Np 0.381 0.619 0.584
Np 0.381 0.619 0.916
Np 0.619 0.381 0.084
Np 0.619 0.381 0.416
Te 0.137 0.863 0.250
Te 0.863 0.137 0.750
Se 0.000 0.000 0.000
Se 0.000 0.000 0.500
Se 0.250 0.750 0.081
Se 0.250 0.750 0.419
Se 0.493 0.507 0.750
Se 0.507 0.493 0.250
Se 0.750 0.250 0.581
Se 0.750 0.250 0.919

- N(E_F): 43.1 states/eV per cell
- Formation energy without anion corrections: -0.780 eV per atom

***

[8]
A geometry-optimized CsNpTeSe structure, computed with PBE.

a = 4.433 Å, b = 4.433 Å, c = 26.347 Å
α = 90.00°, β = 90.00°, γ = 120.00°
Sites, in units of the cell vectors:
Cs 0.000 0.000 0.000
Cs 0.333 0.667 0.667
Cs 0.667 0.333 0.333
Np 0.000 0.000 0.160
Np 0.333 0.667 0.827
Np 0.667 0.333 0.493
Te 0.000 0.000 0.562
Te 0.333 0.667 0.229
Te 0.667 0.333 0.896
Se 0.000 0.000 0.771
Se 0.333 0.667 0.437
Se 0.667 0.333 0.104

- N(E_F): 36.0 states/eV per cell
- Formation energy without anion corrections: -1.028 eV per atom

***

[9]
A geometry-optimized CsNpTeSe3 structure, computed with PBE.

a = 9.585 Å, b = 4.222 Å, c = 10.972 Å
α = 90.00°, β = 113.34°, γ = 90.00°
Sites, in units of the cell vectors:
Cs 0.242 0.250 0.288
Cs 0.758 0.750 0.712
Np 0.335 0.750 0.825
Np 0.665 0.250 0.175
Te 0.094 0.250 0.653
Te 0.906 0.750 0.347
Se 0.156 0.250 0.902
Se 0.349 0.750 0.588
Se 0.450 0.750 0.117
Se 0.550 0.250 0.883
Se 0.651 0.250 0.412
Se 0.844 0.750 0.098

- N(E_F): 16.4 states/eV per cell
- Formation energy without anion corrections: -0.829 eV per atom

***

[10]
A geometry-optimized Cs2NpTeSe6 structure, computed with PBE.

a = 14.004 Å, b = 14.004 Å, c = 14.004 Å
α = 32.38°, β = 32.38°, γ = 32.38°
Sites, in units of the cell vectors:
Cs 0.126 0.126 0.126
Cs 0.293 0.293 0.293
Cs 0.707 0.707 0.707
Cs 0.874 0.874 0.874
Np 0.411 0.411 0.411
Np 0.589 0.589 0.589
Te 0.000 0.000 0.000
Te 0.500 0.500 0.500
Se 0.141 0.611 0.611
Se 0.208 0.208 0.711
Se 0.208 0.711 0.208
Se 0.289 0.792 0.792
Se 0.389 0.389 0.859
Se 0.389 0.859 0.389
Se 0.611 0.141 0.611
Se 0.611 0.611 0.141
Se 0.711 0.208 0.208
Se 0.792 0.289 0.792
Se 0.792 0.792 0.289
Se 0.859 0.389 0.389

- N(E_F): 6.4 states/eV per cell
- Formation energy without anion corrections: -0.711 eV per atom

***

[11]
A geometry-optimized Cs3ThNp2Se6 structure, computed with PBE.

a = 7.514 Å, b = 7.514 Å, c = 8.788 Å
α = 98.19°, β = 98.19°, γ = 120.00°
Sites, in units of the cell vectors:
Cs 0.000 0.000 0.000
Cs 0.333 0.667 0.000
Cs 0.667 0.333 0.000
Th 0.500 0.500 0.500
Np 0.167 0.833 0.500
Np 0.833 0.167 0.500
Se 0.104 0.437 0.311
Se 0.230 0.230 0.689
Se 0.437 0.104 0.311
Se 0.563 0.896 0.689
Se 0.770 0.770 0.311
Se 0.896 0.563 0.689

- N(E_F): 24.4 states/eV per cell
- Formation energy without anion corrections: -1.341 eV per atom

***

[12]
A geometry-optimized CsThNpSe4 structure, computed with PBE.

a = 9.103 Å, b = 9.103 Å, c = 9.103 Å
α = 119.75°, β = 119.74°, γ = 90.44°
Sites, in units of the cell vectors:
Cs 0.371 0.121 0.250
Cs 0.629 0.879 0.750
Th 0.000 0.000 0.500
Th 0.000 0.500 0.000
Np 0.000 0.500 0.500
Np 0.500 0.500 0.000
Se 0.184 0.731 0.453
Se 0.222 0.269 0.953
Se 0.226 0.274 0.548
Se 0.226 0.678 0.952
Se 0.774 0.322 0.048
Se 0.774 0.726 0.452
Se 0.778 0.731 0.047
Se 0.816 0.269 0.547

- N(E_F): 14.2 states/eV per cell
- Formation energy without anion corrections: -1.364 eV per atom

***

[13]
A geometry-optimized Cs2Np2TiSe6 structure, computed with PBE.

a = 6.996 Å, b = 6.996 Å, c = 8.923 Å
α = 97.83°, β = 97.83°, γ = 119.57°
Sites, in units of the cell vectors:
Cs 0.170 0.830 0.000
Cs 0.830 0.170 0.000
Np 0.333 0.667 0.500
Np 0.667 0.333 0.500
Ti 0.000 0.000 0.500
Se 0.064 0.375 0.679
Se 0.251 0.251 0.322
Se 0.375 0.064 0.679
Se 0.625 0.936 0.321
Se 0.749 0.749 0.678
Se 0.936 0.625 0.321

- N(E_F): 21.4 states/eV per cell
- Formation energy without anion corrections: -1.214 eV per atom

***

[14]
A geometry-optimized Cs3Np2TiSe6 structure, computed with PBE.

a = 7.228 Å, b = 7.228 Å, c = 8.711 Å
α = 97.96°, β = 97.96°, γ = 120.00°
Sites, in units of the cell vectors:
Cs 0.000 0.000 0.000
Cs 0.331 0.669 0.000
Cs 0.669 0.331 0.000
Np 0.166 0.834 0.500
Np 0.834 0.166 0.500
Ti 0.500 0.500 0.500
Se 0.124 0.440 0.319
Se 0.245 0.245 0.683
Se 0.440 0.124 0.319
Se 0.560 0.876 0.681
Se 0.755 0.755 0.317
Se 0.876 0.560 0.681

- N(E_F): 20.6 states/eV per cell
- Formation energy without anion corrections: -1.184 eV per atom

***

[15]
A geometry-optimized Cs2NpTlSe5 structure, computed with PBE.

a = 10.738 Å, b = 10.738 Å, c = 15.207 Å
α = 90.00°, β = 90.00°, γ = 156.98°
Sites, in units of the cell vectors:
Cs 0.124 0.876 0.500
Cs 0.134 0.866 0.129
Cs 0.866 0.134 0.629
Cs 0.876 0.124 0.000
Np 0.201 0.799 0.830
Np 0.799 0.201 0.330
Tl 0.441 0.559 0.242
Tl 0.559 0.441 0.742
Se 0.064 0.936 0.857
Se 0.298 0.702 0.446
Se 0.308 0.692 0.206
Se 0.324 0.676 0.817
Se 0.498 0.502 0.095
Se 0.502 0.498 0.595
Se 0.676 0.324 0.317
Se 0.692 0.308 0.706
Se 0.702 0.298 0.946
Se 0.936 0.064 0.357

- N(E_F): 12.5 states/eV per cell
- Formation energy without anion corrections: -0.864 eV per atom

***

[16]
A geometry-optimized Cs2NpTlSe4 structure, computed with PBE.

a = 15.410 Å, b = 13.732 Å, c = 8.413 Å
α = 84.57°, β = 62.51°, γ = 32.92°
Sites, in units of the cell vectors:
Cs 0.055 0.055 0.695
Cs 0.305 0.305 0.945
Cs 0.695 0.695 0.055
Cs 0.945 0.945 0.305
Np 0.125 0.125 0.125
Np 0.875 0.875 0.875
Tl 0.375 0.375 0.375
Tl 0.625 0.625 0.625
Se 0.039 0.322 0.422
Se 0.283 0.578 0.678
Se 0.322 0.039 0.717
Se 0.422 0.717 0.039
Se 0.578 0.283 0.961
Se 0.678 0.961 0.283
Se 0.717 0.422 0.322
Se 0.961 0.678 0.578

- N(E_F): 8.1 states/eV per cell
- Formation energy without anion corrections: -0.839 eV per atom

***

[17]
A geometry-optimized CsNpTlSe3 structure, computed with PBE.

a = 9.051 Å, b = 4.301 Å, c = 10.940 Å
α = 90.00°, β = 95.95°, γ = 90.00°
Sites, in units of the cell vectors:
Cs 0.091 0.250 0.185
Cs 0.909 0.750 0.815
Np 0.418 0.250 0.838
Np 0.582 0.750 0.162
Tl 0.260 0.750 0.517
Tl 0.740 0.250 0.483
Se 0.158 0.250 0.688
Se 0.318 0.750 0.988
Se 0.471 0.250 0.294
Se 0.529 0.750 0.706
Se 0.682 0.250 0.012
Se 0.842 0.750 0.312

- N(E_F): 16.2 states/eV per cell
- Formation energy without anion corrections: -1.008 eV per atom

***

[18]
A geometry-optimized CsNp2Tl3Se6 structure, computed with PBE.

a = 10.514 Å, b = 10.514 Å, c = 9.282 Å
α = 100.67°, β = 100.67°, γ = 23.52°
Sites, in units of the cell vectors:
Cs 0.000 0.000 0.000
Np 0.321 0.321 0.654
Np 0.679 0.679 0.346
Tl 0.000 0.000 0.500
Tl 0.332 0.332 0.168
Tl 0.668 0.668 0.832
Se 0.180 0.180 0.560
Se 0.184 0.184 0.143
Se 0.453 0.453 0.703
Se 0.547 0.547 0.297
Se 0.816 0.816 0.857
Se 0.820 0.820 0.440

- N(E_F): 15.5 states/eV per cell
- Formation energy without anion corrections: -0.858 eV per atom

***

[19]
A geometry-optimized Cs3NpTl2Se6 structure, computed with PBE.

a = 7.974 Å, b = 7.974 Å, c = 8.356 Å
α = 99.03°, β = 99.03°, γ = 119.38°
Sites, in units of the cell vectors:
Cs 0.000 0.000 0.000
Cs 0.318 0.682 0.000
Cs 0.682 0.318 0.000
Np 0.500 0.500 0.500
Tl 0.164 0.836 0.500
Tl 0.836 0.164 0.500
Se 0.160 0.439 0.314
Se 0.292 0.292 0.694
Se 0.439 0.160 0.314
Se 0.561 0.840 0.686
Se 0.708 0.708 0.306
Se 0.840 0.561 0.686

- N(E_F): 0.3 states/eV per cell
- Formation energy without anion corrections: -0.863 eV per atom